[1]
CrSbMo2 | GGA-PBE | relaxed

Output
Raw total energy   -0.6273 Ry per atom
Crystal system   tetragonal
V   65.3 Å³/f.u.
Uncorrected formation energy   1.27 eV/f.u.

a = 4.9780 Å, b = 4.9780 Å, c = 4.9780 Å
α = 132.75°, β = 132.75°, γ = 69.04°
Closest atoms and distances in Å follow each position.
Atoms (fractional coordinates):
Cr  0.7500  0.2500  0.5000  8 Mo 2.82-2.86, 4 Sb 2.86
Mo  0.0000  0.0000  0.0000  4 Sb 2.82, 4 Cr 2.86, 4 Mo 2.86
Mo  0.2500  0.7500  0.5000  4 Cr 2.82, 4 Sb 2.86, 4 Mo 2.86
Sb  0.5000  0.5000  0.0000  8 Mo 2.82-2.86, 4 Cr 2.86



[2]
CaSi2Ni4 | GGA-PBE | relaxed

Output
Raw total energy   -0.4095 Ry per atom
Crystal system   orthorhombic
V   97.4 Å³/f.u.
Uncorrected formation energy   -3.02 eV/f.u.

a = 3.9046 Å, b = 6.1084 Å, c = 16.3316 Å
α = 90.00°, β = 90.00°, γ = 90.00°
Closest atoms and distances in Å follow each position.
Atoms (fractional coordinates):
Ca  0.7500  0.0024  0.6391  9 Ni 2.76-3.06, 3 Si 3.00-3.03
Ca  0.2500  0.9976  0.3609  9 Ni 2.76-3.06, 3 Si 3.00-3.03
Ca  0.2500  0.5024  0.8609  9 Ni 2.76-3.06, 3 Si 3.00-3.03
Ca  0.7500  0.4976  0.1391  9 Ni 2.76-3.06, 3 Si 3.00-3.03
Si  0.2500  0.7377  0.5405  7 Ni 2.33-2.47
Si  0.7500  0.2623  0.4595  7 Ni 2.33-2.47
Si  0.7500  0.2377  0.9595  7 Ni 2.33-2.47
Si  0.2500  0.7623  0.0405  7 Ni 2.33-2.47
Si  0.2500  0.9581  0.7882  7 Ni 2.25-2.49
Si  0.7500  0.0419  0.2118  7 Ni 2.25-2.49
Si  0.7500  0.4581  0.7118  7 Ni 2.25-2.49
Si  0.2500  0.5419  0.2882  7 Ni 2.25-2.49
Ni  0.2500  0.2670  0.7134  3 Si 2.25-2.27, 1 Ni 2.47
Ni  0.7500  0.7330  0.2866  3 Si 2.25-2.27, 1 Ni 2.47
Ni  0.7500  0.7670  0.7866  3 Si 2.25-2.27, 1 Ni 2.47
Ni  0.2500  0.2330  0.2134  3 Si 2.25-2.27, 1 Ni 2.47
Ni  0.2500  0.6628  0.6833  4 Si 2.36-2.49, 1 Ni 2.47
Ni  0.7500  0.3372  0.3167  4 Si 2.36-2.49, 1 Ni 2.47
Ni  0.7500  0.1628  0.8167  4 Si 2.36-2.49, 1 Ni 2.47
Ni  0.2500  0.8372  0.1833  4 Si 2.36-2.49, 1 Ni 2.47
Ni  0.2500  0.1381  0.5215  3 Si 2.33-2.47, 1 Ni 2.60
Ni  0.7500  0.8619  0.4785  3 Si 2.33-2.47, 1 Ni 2.60
Ni  0.7500  0.6381  0.9785  3 Si 2.33-2.47, 1 Ni 2.60
Ni  0.2500  0.3619  0.0215  3 Si 2.33-2.47, 1 Ni 2.60
Ni  0.2500  0.4889  0.4311  4 Si 2.35-2.44, 1 Ni 2.60
Ni  0.7500  0.5111  0.5689  4 Si 2.35-2.44, 1 Ni 2.60
Ni  0.7500  0.9889  0.0689  4 Si 2.35-2.44, 1 Ni 2.60
Ni  0.2500  0.0111  0.9311  4 Si 2.35-2.44, 1 Ni 2.60